Record 1
The following is a GGA-PBE calculation of BeWAu after structural relaxation, from the Open Quantum Materials Database.

The structure belongs to space group F-43m (No. 216); the cell edges are 5.6658, 5.6658 and 5.6658 Å and the angles 90.00°, 90.00° and 90.00°. The inequivalent atoms are Be at (0.0000, 0.0000, 0.0000), W at (0.2500, 0.2500, 0.2500) and Au at (0.2500, 0.2500, 0.7500).

The calculation puts the energy above the most stable polymorph in this dataset at 0.0 meV per atom. The value obtained for the theoretical density is 14.236 g cm⁻³. Its total energy is -5.953 eV/atom.


Record 2
The following is a GGA-PBE calculation of BeW2Au after structural relaxation, from the Open Quantum Materials Database.

The structure belongs to space group F-43m (No. 216); the cell edges are 6.2486, 6.2486 and 6.2486 Å and the angles 90.00°, 90.00° and 90.00°. The inequivalent atoms are Be at (0.0000, 0.0000, 0.0000), W at (0.0000, 0.0000, 0.5000), W at (0.2500, 0.2500, 0.7500) and Au at (0.2500, 0.2500, 0.2500).

The value obtained for the theoretical density is 15.617 g cm⁻³. Its total energy is -7.697 eV/atom.


Record 3
The following is a GGA-PBE calculation of YBeAu4 after structural relaxation, from the Open Quantum Materials Database.

The structure belongs to space group P4/mmm (No. 123); the cell edges are 3.4983, 3.4983 and 9.0962 Å and the angles 90.00°, 90.00° and 90.00°. The inequivalent atoms are Y at (0.0000, 0.0000, 0.0000), Be at (0.5000, 0.5000, 0.5000), Au at (0.0000, 0.0000, 0.3537) and Au at (0.5000, 0.5000, 0.1918).

The value obtained for the theoretical density is 13.213 g cm⁻³. Its total energy is -4.179 eV/atom.


Record 4
The following is a GGA-PBE calculation of YBe2Au2 after structural relaxation, from the Open Quantum Materials Database.

The structure belongs to space group I4/mmm (No. 139); the cell edges are 4.0603, 4.0603 and 10.2729 Å and the angles 90.00°, 90.00° and 90.00°. The inequivalent atoms are Y at (0.0000, 0.0000, 0.0000), Be at (0.0000, 0.5000, 0.2500) and Au at (0.0000, 0.0000, 0.3650).

The value obtained for the theoretical density is 9.822 g cm⁻³. Its total energy is -4.537 eV/atom.


Record 5
The following is a GGA-PBE calculation of YBe2Au after structural relaxation, from the Open Quantum Materials Database.

The structure belongs to space group F-43m (No. 216); the cell edges are 6.4431, 6.4431 and 6.4431 Å and the angles 90.00°, 90.00° and 90.00°. The inequivalent atoms are Y at (0.0000, 0.0000, 0.0000), Be at (0.0000, 0.0000, 0.5000), Be at (0.2500, 0.2500, 0.7500) and Au at (0.2500, 0.2500, 0.2500).

The value obtained for the theoretical density is 7.547 g cm⁻³. Its total energy is -4.319 eV/atom.


Record 6
The following is a GGA-PBE calculation of YBeZnAu after structural relaxation, from the Open Quantum Materials Database.

The structure belongs to space group F-43m (No. 216); the cell edges are 6.5949, 6.5949 and 6.5949 Å and the angles 90.00°, 90.00° and 90.00°. The inequivalent atoms are Y at (0.0000, 0.0000, 0.0000), Be at (0.0000, 0.0000, 0.5000), Zn at (0.2500, 0.2500, 0.2500) and Au at (0.2500, 0.2500, 0.7500).

The calculation puts the energy above the most stable polymorph in this dataset at 44.3 meV per atom. The value obtained for the theoretical density is 8.343 g cm⁻³. Its total energy is -3.922 eV/atom.